1.
Entry from Alexandria via LeMat-Bulk: crystalline Co2ReNi at its relaxed geometry (PBE).

Properties
Relative energy among the computed polymorphs (meV/atom): 147
Formation energy (eV per atom): 0.158
Electronic total energy (eV/atom): -7.9522
Fermi-level density of states (states/eV/cell): 6.12

Cell: 8.357 8.357 8.357 Å, 18.05 18.05 18.05°
Atoms (fractional coordinates):
Re 0.750 0.750 0.750
Ni 0.503 0.503 0.503
Co 0.251 0.251 0.251
Co 0.997 0.997 0.997



2.
Entry from Alexandria via LeMat-Bulk: crystalline PrZn13 at its relaxed geometry (PBE).

Properties
Formation energy (eV per atom): -0.171
Electronic total energy (eV/atom): -1.6958
Fermi-level density of states (states/eV/cell): 10.12

Cell: 8.619 8.619 8.619 Å, 60.00 60.00 60.00°
Atoms (fractional coordinates):
Zn 0.801 0.199 0.558
Zn 0.301 0.058 0.699
Zn 0.199 0.801 0.442
Zn 0.058 0.301 0.942
Zn 0.301 0.942 0.058
Zn 0.942 0.301 0.699
Zn 0.199 0.558 0.801
Zn 0.699 0.942 0.301
Zn 0.558 0.199 0.442
Zn 0.699 0.058 0.942
Zn 0.942 0.058 0.301
Zn 0.058 0.942 0.699
Zn 0.442 0.558 0.199
Zn 0.500 0.500 0.500
Zn 0.699 0.301 0.058
Zn 0.000 0.000 0.000
Zn 0.558 0.442 0.801
Zn 0.442 0.801 0.558
Zn 0.942 0.699 0.058
Zn 0.058 0.699 0.301
Zn 0.558 0.801 0.199
Zn 0.442 0.199 0.801
Zn 0.801 0.442 0.199
Zn 0.301 0.699 0.942
Zn 0.199 0.442 0.558
Zn 0.801 0.558 0.442
Pr 0.750 0.750 0.750
Pr 0.250 0.250 0.250



3.
Entry from Alexandria via LeMat-Bulk: crystalline Ac2PmIn12Rh3 at its relaxed geometry (PBE).

Properties
Formation energy (eV per atom): -0.070
Electronic total energy (eV/atom): -3.8414
Fermi-level density of states (states/eV/cell): 15.78

Cell: 8.756 8.756 8.756 Å, 65.92 65.92 65.92°
Atoms (fractional coordinates):
In 0.273 0.273 0.868
In 0.164 0.547 0.164
In 0.132 0.727 0.727
In 0.727 0.727 0.132
In 0.868 0.273 0.273
In 0.727 0.132 0.727
In 0.547 0.164 0.164
In 0.164 0.164 0.547
In 0.453 0.836 0.836
In 0.836 0.836 0.453
In 0.273 0.868 0.273
In 0.836 0.453 0.836
Pm 0.000 0.000 0.000
Rh 0.000 0.000 0.500
Rh 0.000 0.500 0.000
Rh 0.500 0.000 0.000
Ac 0.585 0.585 0.585
Ac 0.415 0.415 0.415



4.
Entry from Alexandria via LeMat-Bulk: crystalline Sr2CdBiO at its relaxed geometry (PBE).

Properties
Electronic total energy (eV/atom): -3.8702
Fermi-level density of states (states/eV/cell): 1.64

Cell: 5.130 5.130 5.022 Å, 90.00 90.00 90.00°
Atoms (fractional coordinates):
Bi 0.500 0.500 0.500
O 0.000 0.000 0.000
Sr 0.000 0.500 0.000
Sr 0.500 0.000 0.000
Cd 0.000 0.000 0.500



5.
Entry from Alexandria via LeMat-Bulk: crystalline ZrTiH at its relaxed geometry (PBE).

Properties
Relative energy among the computed polymorphs (meV/atom): 61
Electronic total energy (eV/atom): -6.7228
Fermi-level density of states (states/eV/cell): 75.92

Cell: 6.026 9.738 17.633 Å, 90.00 90.00 90.00°
Atoms (fractional coordinates):
H 0.324 0.139 0.469
H 0.176 0.639 0.531
H 0.873 0.216 0.333
H 0.824 0.361 0.469
H 0.373 0.284 0.333
H 0.411 0.787 0.335
H 0.627 0.716 0.667
H 0.911 0.713 0.335
H 0.824 0.639 0.031
H 0.127 0.216 0.833
H 0.089 0.287 0.665
H 0.373 0.716 0.167
H 0.676 0.139 0.969
H 0.176 0.361 0.969
H 0.324 0.861 0.031
H 0.589 0.787 0.835
H 0.873 0.784 0.167
H 0.911 0.287 0.165
H 0.589 0.213 0.665
H 0.127 0.784 0.667
H 0.676 0.861 0.531
H 0.089 0.713 0.835
H 0.411 0.213 0.165
H 0.627 0.284 0.833
Ti 0.404 0.990 0.327
Ti 0.906 0.983 0.168
Ti 0.406 0.483 0.332
Ti 0.096 0.490 0.673
Ti 0.094 0.983 0.668
Ti 0.805 0.038 0.527
Ti 0.195 0.962 0.473
Ti 0.404 0.010 0.173
Ti 0.594 0.517 0.668
Ti 0.594 0.483 0.832
Ti 0.406 0.517 0.168
Ti 0.695 0.538 0.473
Ti 0.094 0.017 0.832
Ti 0.096 0.510 0.827
Ti 0.305 0.462 0.527
Ti 0.695 0.462 0.027
Ti 0.195 0.038 0.027
Ti 0.904 0.510 0.327
Ti 0.596 0.010 0.673
Ti 0.305 0.538 0.973
Ti 0.904 0.490 0.173
Ti 0.805 0.962 0.973
Ti 0.596 0.990 0.827
Ti 0.906 0.017 0.332
Zr 0.085 0.260 0.422
Zr 0.808 0.310 0.581
Zr 0.415 0.760 0.578
Zr 0.915 0.740 0.578
Zr 0.853 0.760 0.750
Zr 0.147 0.760 0.250
Zr 0.353 0.260 0.750
Zr 0.147 0.240 0.250
Zr 0.808 0.690 0.919
Zr 0.192 0.690 0.419
Zr 0.915 0.260 0.922
Zr 0.692 0.190 0.081
Zr 0.585 0.760 0.078
Zr 0.647 0.740 0.250
Zr 0.692 0.810 0.419
Zr 0.308 0.190 0.581
Zr 0.647 0.260 0.250
Zr 0.415 0.240 0.922
Zr 0.853 0.240 0.750
Zr 0.308 0.810 0.919
Zr 0.085 0.740 0.078
Zr 0.585 0.240 0.422
Zr 0.353 0.740 0.750
Zr 0.192 0.310 0.081



6.
Entry from Alexandria via LeMat-Bulk: crystalline Al4VCr at its relaxed geometry (PBE).

Properties
Formation energy (eV per atom): -0.083
Electronic total energy (eV/atom): -5.7014
Fermi-level density of states (states/eV/cell): 3.62

Cell: 4.362 7.593 6.858 Å, 90.00 129.44 90.00°
Atoms (fractional coordinates):
Cr 0.500 0.500 0.000
Cr 0.000 0.000 0.000
Al 0.250 0.834 0.751
Al 0.750 0.666 0.751
Al 0.750 0.166 0.249
Al 0.750 0.334 0.751
Al 0.250 0.334 0.249
Al 0.250 0.666 0.249
Al 0.250 0.166 0.751
Al 0.750 0.834 0.249
V 0.000 0.500 0.500
V 0.500 0.000 0.500